Entry 1:
# Fe2AgIr (PBE, relaxed)
data_Fe2AgIr
_chemical_formula_sum 'Fe8 Ag4 Ir4'
_cell_length_a 6.132
_cell_length_b 6.132
_cell_length_c 6.132
_cell_angle_alpha 90.00
_cell_angle_beta 90.00
_cell_angle_gamma 90.00
_space_group_name_H-M_alt 'F -4 3 m'
_space_group_IT_number 216
_space_group_name_Hall 'F -4 2 3'
loop_
_atom_site_label
_atom_site_type_symbol
_atom_site_fract_x
_atom_site_fract_y
_atom_site_fract_z
Fe1 Fe 0.000 0.000 0.000
Fe2 Fe 0.250 0.250 0.250
Ag1 Ag 0.000 0.000 0.500
Ir1 Ir 0.250 0.250 0.750
# E_form (eV per atom): 0.3817
# M_tot (μB/cell): 26.2
# Fermi-level density of states (states/eV per atom): 1.066

Entry 2:
# La2ZnRu3 (PBE, relaxed)
data_La2ZnRu3
_chemical_formula_sum 'La4 Zn2 Ru6'
_cell_length_a 9.340
_cell_length_b 5.523
_cell_length_c 5.423
_cell_angle_alpha 90.00
_cell_angle_beta 124.43
_cell_angle_gamma 90.00
_space_group_name_H-M_alt 'C 1 2/m 1'
_space_group_IT_number 12
loop_
_space_group_symop_operation_xyz
'x,y,z'
'-x,-y,-z'
'-x,y,-z'
'x,-y,z'
'x+1/2,y+1/2,z'
'-x+1/2,-y+1/2,-z'
'-x+1/2,y+1/2,-z'
'x+1/2,-y+1/2,z'
loop_
_atom_site_label
_atom_site_type_symbol
_atom_site_fract_x
_atom_site_fract_y
_atom_site_fract_z
La1 La 0.122 0.000 0.377
Zn1 Zn 0.000 0.500 0.000
Ru1 Ru 0.000 0.500 0.500
Ru2 Ru 0.250 0.250 0.000
# E_form (eV per atom): -0.2148
# M_tot (μB/cell): 2.5
# Fermi-level density of states (states/eV per atom): 1.026

Entry 3:
# EuIn2Bi (PBE, relaxed)
data_EuIn2Bi
_chemical_formula_sum 'Eu1 In2 Bi1'
_cell_length_a 4.086
_cell_length_b 4.086
_cell_length_c 7.206
_cell_angle_alpha 90.00
_cell_angle_beta 90.00
_cell_angle_gamma 90.00
_space_group_name_H-M_alt 'P 4/m m m'
_space_group_IT_number 123
_space_group_name_Hall '-P 4 2'
loop_
_atom_site_label
_atom_site_type_symbol
_atom_site_fract_x
_atom_site_fract_y
_atom_site_fract_z
Eu1 Eu 0.000 0.000 0.000
In1 In 0.500 0.500 0.279
Bi1 Bi 0.000 0.000 0.500
# E_form (eV per atom): -0.2835
# Energy relative to the lowest polymorph listed for this composition (eV per formula unit): 0.64
# M_tot (μB/cell): 7.4
# Fermi-level density of states (states/eV per atom): 1.091

Entry 4:
# RbTbBeS3 (PBE, relaxed)
data_RbTbBeS3
_chemical_formula_sum 'Rb2 Tb2 Be2 S6'
_cell_length_a 9.234
_cell_length_b 3.898
_cell_length_c 9.272
_cell_angle_alpha 90.00
_cell_angle_beta 109.82
_cell_angle_gamma 90.00
_space_group_name_H-M_alt 'P 1 21/m 1'
_space_group_IT_number 11
loop_
_space_group_symop_operation_xyz
'x,y,z'
'-x,-y,-z'
'-x,y+1/2,-z'
'x,-y+1/2,z'
loop_
_atom_site_label
_atom_site_type_symbol
_atom_site_fract_x
_atom_site_fract_y
_atom_site_fract_z
Rb1 Rb 0.203 0.250 0.235
Tb1 Tb 0.333 0.750 0.850
Be1 Be 0.074 0.250 0.604
S1 S 0.120 0.250 0.838
S2 S 0.161 0.750 0.532
S3 S 0.464 0.750 0.161
# M_tot (μB/cell): 0.0
# Fermi-level density of states (states/eV per atom): 0.000
# Formation energy without anion corrections (eV/atom): -1.55

Entry 5:
# BeRu4Pb (PBE, relaxed)
data_BeRu4Pb
_chemical_formula_sum 'Be4 Ru16 Pb4'
_cell_length_a 7.322
_cell_length_b 7.322
_cell_length_c 7.322
_cell_angle_alpha 90.00
_cell_angle_beta 90.00
_cell_angle_gamma 90.00
_space_group_name_H-M_alt 'F -4 3 m'
_space_group_IT_number 216
_space_group_name_Hall 'F -4 2 3'
loop_
_atom_site_label
_atom_site_type_symbol
_atom_site_fract_x
_atom_site_fract_y
_atom_site_fract_z
Be1 Be 0.000 0.000 0.000
Ru1 Ru 0.126 0.126 0.374
Pb1 Pb 0.250 0.250 0.750
# E_form (eV per atom): 0.7563
# M_tot (μB/cell): 9.8
# Fermi-level density of states (states/eV per atom): 1.353

Entry 6:
# PmGdI (PBE, relaxed)
data_PmGdI
_chemical_formula_sum 'Pm2 Gd2 I2'
_cell_length_a 3.727
_cell_length_b 3.727
_cell_length_c 14.213
_cell_angle_alpha 90.00
_cell_angle_beta 90.00
_cell_angle_gamma 90.00
_space_group_name_H-M_alt 'I 4 m m'
_space_group_IT_number 107
_space_group_name_Hall 'I 4 -2'
loop_
_atom_site_label
_atom_site_type_symbol
_atom_site_fract_x
_atom_site_fract_y
_atom_site_fract_z
Pm1 Pm 0.000 0.000 0.000
Gd1 Gd 0.000 0.000 0.325
I1 I 0.000 0.000 0.664
# Energy relative to the lowest polymorph listed for this composition (eV per formula unit): 0.27
# M_tot (μB/cell): 14.9
# Fermi-level density of states (states/eV per atom): 1.381
# Formation energy without anion corrections (eV/atom): -0.47

Entry 7:
# HI (PBE, relaxed)
data_HI
_chemical_formula_sum 'H6 I6'
_cell_length_a 7.768
_cell_length_b 5.882
_cell_length_c 9.753
_cell_angle_alpha 90.00
_cell_angle_beta 90.00
_cell_angle_gamma 90.00
_space_group_name_H-M_alt 'P m n 21'
_space_group_IT_number 31
loop_
_space_group_symop_operation_xyz
'x,y,z'
'-x+1/2,-y,z+1/2'
'-x,y,z'
'x+1/2,-y,z+1/2'
loop_
_atom_site_label
_atom_site_type_symbol
_atom_site_fract_x
_atom_site_fract_y
_atom_site_fract_z
H1 H 0.000 0.072 0.000
H2 H 0.151 0.734 0.391
I1 I 0.000 0.549 0.287
I2 I 0.246 0.044 0.017
# DFT total energy (eV/cell): -28.62
# M_tot (μB/cell): 0.0
# Fermi-level density of states (states/eV per atom): 0.000

Entry 8:
# Hf2MgPb (PBE, relaxed)
data_Hf2MgPb
_chemical_formula_sum 'Hf2 Mg1 Pb1'
_cell_length_a 4.363
_cell_length_b 4.363
_cell_length_c 4.637
_cell_angle_alpha 90.00
_cell_angle_beta 90.00
_cell_angle_gamma 90.00
_space_group_name_H-M_alt 'P 4/m m m'
_space_group_IT_number 123
_space_group_name_Hall '-P 4 2'
loop_
_atom_site_label
_atom_site_type_symbol
_atom_site_fract_x
_atom_site_fract_y
_atom_site_fract_z
Hf1 Hf 0.000 0.500 0.000
Mg1 Mg 0.000 0.000 0.500
Pb1 Pb 0.500 0.500 0.500
# E_form (eV per atom): 0.0263
# M_tot (μB/cell): 0.0
# Fermi-level density of states (states/eV per atom): 0.727

Entry 9:
# V5Cr2W4 (PBE, relaxed)
data_V5Cr2W4
_chemical_formula_sum 'V10 Cr4 W8'
_cell_length_a 13.473
_cell_length_b 2.530
_cell_length_c 9.550
_cell_angle_alpha 90.00
_cell_angle_beta 93.30
_cell_angle_gamma 90.00
_space_group_name_H-M_alt 'C 1 2/m 1'
_space_group_IT_number 12
loop_
_space_group_symop_operation_xyz
'x,y,z'
'-x,-y,-z'
'-x,y,-z'
'x,-y,z'
'x+1/2,y+1/2,z'
'-x+1/2,-y+1/2,-z'
'-x+1/2,y+1/2,-z'
'x+1/2,-y+1/2,z'
loop_
_atom_site_label
_atom_site_type_symbol
_atom_site_fract_x
_atom_site_fract_y
_atom_site_fract_z
V1 V 0.000 0.000 0.000
V2 V 0.178 0.500 0.088
V3 V 0.233 0.500 0.372
Cr1 Cr 0.091 0.000 0.541
W1 W 0.043 0.500 0.283
W2 W 0.135 0.000 0.824
# E_form (eV per atom): 0.4144
# M_tot (μB/cell): 0.0
# Fermi-level density of states (states/eV per atom): 1.036

Entry 10:
# La4PtAu2Cl (PBE, relaxed)
data_La4PtAu2Cl
_chemical_formula_sum 'La4 Pt1 Au2 Cl1'
_cell_length_a 7.528
_cell_length_b 4.335
_cell_length_c 7.566
_cell_angle_alpha 90.00
_cell_angle_beta 108.72
_cell_angle_gamma 90.00
_space_group_name_H-M_alt 'P 1 2/m 1'
_space_group_IT_number 10
loop_
_space_group_symop_operation_xyz
'x,y,z'
'-x,-y,-z'
'-x,y,-z'
'x,-y,z'
loop_
_atom_site_label
_atom_site_type_symbol
_atom_site_fract_x
_atom_site_fract_y
_atom_site_fract_z
La1 La 0.241 0.000 0.260
La2 La 0.242 0.500 0.732
Pt1 Pt 0.000 0.000 0.500
Au1 Au 0.500 0.000 0.000
Au2 Au 0.500 0.500 0.500
Cl1 Cl 0.000 0.500 0.000
# M_tot (μB/cell): 0.0
# Fermi-level density of states (states/eV per atom): 1.132
# Formation energy without anion corrections (eV/atom): -1.07

Entry 11:
# Y2Ni2Sb (PBE, relaxed)
data_Y2Ni2Sb
_chemical_formula_sum 'Y4 Ni4 Sb2'
_cell_length_a 5.362
_cell_length_b 5.362
_cell_length_c 7.495
_cell_angle_alpha 90.00
_cell_angle_beta 90.00
_cell_angle_gamma 90.00
_space_group_name_H-M_alt 'I 4/m m m'
_space_group_IT_number 139
_space_group_name_Hall '-I 4 2'
loop_
_atom_site_label
_atom_site_type_symbol
_atom_site_fract_x
_atom_site_fract_y
_atom_site_fract_z
Y1 Y 0.000 0.500 0.250
Ni1 Ni 0.000 0.000 0.149
Sb1 Sb 0.000 0.000 0.500
# Energy relative to the lowest polymorph listed for this composition (eV per formula unit): 1.14
# M_tot (μB/cell): 0.0
# Fermi-level density of states (states/eV per atom): 0.909
# Formation energy without anion corrections (eV/atom): -0.41

Entry 12:
# Na2TlSbI6 (PBE, relaxed)
data_Na2TlSbI6
_chemical_formula_sum 'Na6 Tl3 Sb3 I18'
_cell_length_a 8.1451
_cell_length_b 8.1451
_cell_length_c 22.4112
_cell_angle_alpha 90.00
_cell_angle_beta 90.00
_cell_angle_gamma 120.00
_space_group_name_H-M_alt 'R 3'
_space_group_IT_number 146
_space_group_name_Hall 'R 3'
loop_
_atom_site_label
_atom_site_type_symbol
_atom_site_fract_x
_atom_site_fract_y
_atom_site_fract_z
Na1 Na 0.0000 0.0000 0.0000
Na2 Na 0.0000 0.0000 0.4842
Tl1 Tl 0.0000 0.0000 0.1846
Sb1 Sb 0.0000 0.0000 0.6730
I1 I 0.0089 0.3544 0.4151
I2 I 0.0265 0.6385 0.2563
# M_tot (μB/cell): 0.0
# Fermi-level density of states (states/eV per atom): 0.000
# Formation energy without anion corrections (eV/atom): -0.75

Entry 13:
# Sm4Se2N (PBE, relaxed)
data_Sm4Se2N
_chemical_formula_sum 'Sm8 Se4 N2'
_cell_length_a 4.710
_cell_length_b 4.710
_cell_length_c 15.336
_cell_angle_alpha 90.00
_cell_angle_beta 90.00
_cell_angle_gamma 90.00
_space_group_name_H-M_alt 'I 4/m m m'
_space_group_IT_number 139
_space_group_name_Hall '-I 4 2'
loop_
_atom_site_label
_atom_site_type_symbol
_atom_site_fract_x
_atom_site_fract_y
_atom_site_fract_z
Sm1 Sm 0.000 0.000 0.170
Sm2 Sm 0.000 0.500 0.000
Se1 Se 0.000 0.000 0.364
N1 N 0.000 0.000 0.000
# M_tot (μB/cell): 0.0
# Fermi-level density of states (states/eV per atom): 1.045
# Formation energy without anion corrections (eV/atom): -1.13

Entry 14:
# Na2AgSeBr (PBE, relaxed)
data_Na2AgSeBr
_chemical_formula_sum 'Na2 Ag1 Se1 Br1'
_cell_length_a 5.580
_cell_length_b 5.580
_cell_length_c 4.922
_cell_angle_alpha 90.00
_cell_angle_beta 90.00
_cell_angle_gamma 90.00
_space_group_name_H-M_alt 'P 4/m m m'
_space_group_IT_number 123
_space_group_name_Hall '-P 4 2'
loop_
_atom_site_label
_atom_site_type_symbol
_atom_site_fract_x
_atom_site_fract_y
_atom_site_fract_z
Na1 Na 0.000 0.500 0.000
Ag1 Ag 0.000 0.000 0.500
Se1 Se 0.000 0.000 0.000
Br1 Br 0.500 0.500 0.500
# M_tot (μB/cell): 0.0
# Fermi-level density of states (states/eV per atom): 0.000
# Formation energy without anion corrections (eV/atom): -0.81

Entry 15:
# LiCO (PBE, relaxed)
data_LiCO
_chemical_formula_sum 'Li4 C4 O4'
_cell_length_a 9.729
_cell_length_b 3.444
_cell_length_c 3.689
_cell_angle_alpha 90.00
_cell_angle_beta 100.77
_cell_angle_gamma 90.00
_space_group_name_H-M_alt 'C 1 m 1'
_space_group_IT_number 8
loop_
_space_group_symop_operation_xyz
'x,y,z'
'x,-y,z'
'x+1/2,y+1/2,z'
'x+1/2,-y+1/2,z'
loop_
_atom_site_label
_atom_site_type_symbol
_atom_site_fract_x
_atom_site_fract_y
_atom_site_fract_z
Li1 Li 0.000 0.000 0.000
Li2 Li 0.127 0.500 0.629
C1 C 0.324 0.000 0.000
C2 C 0.424 0.000 0.305
O1 O 0.191 0.000 0.854
O2 O 0.428 0.000 0.688
# Energy relative to the lowest polymorph listed for this composition (eV per formula unit): 1.42
# M_tot (μB/cell): 0.0
# Fermi-level density of states (states/eV per atom): 0.000
# Formation energy without anion corrections (eV/atom): -0.63